The following is a DFT calculation (PBE) of a relaxed Fe4NiIr6 crystal.

The structure belongs to space group I-42m (No. 121); the cell edges are 5.0822, 5.0822 and 12.5703 Å and the angles 90.00°, 90.00° and 90.00°. The distinct sites, in fractional coordinates, are Fe at (0.2024, 0.2024, 0.1714), Ni at (0.0000, 0.0000, 0.0000), Ir at (0.0000, 0.5000, 0.0000) and Ir at (0.1898, 0.1898, 0.3627).

The theoretical density comes out at 14.68 g/cm³. For the formation energy, the calculation gives 0.35 eV per atom. The size of the total moment comes out at 1.11 μB/atom.